Zr4FeCo: optimized geometry, GGA-PBE.

The structure belongs to space group F-43m (No. 216); the cell edges are 7.902, 7.902 and 7.902 Å and the angles 90.00°, 90.00° and 90.00°. The asymmetric unit holds Zr at (0.125, 0.125, 0.125), Fe at (0.000, 0.000, 0.500) and Co at (0.250, 0.250, 0.750).

Its formation energy from the elements is 790 meV per atom. The value obtained for the energy above the most stable polymorph in this dataset is 0.987 eV per atom. For the total moment, the calculation gives 0.59 μB per atom. For the total energy, the calculation gives -45.020 eV per formula unit.